# 1
A plane-wave DFT calculation with GGA-PBE was carried out for a relaxed Hf31GaO64 crystal.

a b c (Å): 10.0244 10.0744 10.4322
angles (deg): 89.71 89.89 89.78
Last column: nearest neighbours and their distance in Å.
Atoms (fractional coordinates):
O 0.9096 0.0547 0.4408  3 Hf 2.03-2.13
O 0.9109 0.5559 0.4421  3 Hf 2.03-2.15
O 0.1037 0.7510 0.2434  4 Hf 2.12-2.23
O 0.9134 0.5550 0.9430  3 Hf 2.04-2.14
O 0.9066 0.0492 0.9425  3 Hf 2.03-2.18
O 0.1458 0.0005 0.5068  4 Hf 2.12-2.25
O 0.6459 0.2502 0.4911  4 Hf 2.12-2.23
O 0.1049 0.7482 0.7437  4 Hf 2.11-2.23
O 0.8411 0.5537 0.1930  3 Hf 2.04-2.13
O 0.3436 0.3063 0.3063  2 Hf 2.02-2.13, 1 Ga 2.06
O 0.9109 0.8014 0.0595  3 Hf 2.03-2.16
O 0.9107 0.8052 0.5589  3 Hf 2.03-2.13
O 0.8405 0.5534 0.6930  3 Hf 2.03-2.14
O 0.1452 0.5005 0.5088  4 Hf 2.09-2.25
O 0.6427 0.0017 0.0087  4 Hf 2.11-2.23
O 0.1064 0.5034 0.2608  3 Hf 2.08-2.16, 1 Ga 2.17
O 0.9100 0.3053 0.5567  3 Hf 2.03-2.15
O 0.3976 0.3062 0.0590  1 Ga 1.95, 2 Hf 2.16
O 0.8394 0.8068 0.3094  3 Hf 2.03-2.13
O 0.6461 0.5010 0.0088  4 Hf 2.10-2.25
O 0.9053 0.3031 0.0563  3 Hf 2.00-2.14
O 0.8404 0.0559 0.1902  3 Hf 2.07-2.13
O 0.1311 0.2384 0.9773  3 Hf 2.02-2.11
O 0.3393 0.3040 0.8082  3 Hf 2.02-2.15
O 0.1449 0.2509 0.4869  4 Hf 2.10-2.25
O 0.4097 0.3042 0.5573  3 Hf 2.03-2.13
O 0.8403 0.8035 0.8081  3 Hf 2.03-2.13
O 0.1027 0.9987 0.7574  4 Hf 2.13-2.22
O 0.1497 0.4887 0.0128  1 Ga 2.01, 2 Hf 2.15-2.24
O 0.1039 0.0021 0.2574  4 Hf 2.11-2.24
O 0.3389 0.8041 0.8096  3 Hf 2.03-2.16
O 0.3398 0.8053 0.3102  3 Hf 2.03-2.13
O 0.8396 0.3024 0.8080  3 Hf 2.04-2.12
O 0.3408 0.5536 0.6929  3 Hf 2.03-2.14
O 0.6058 0.7519 0.2419  4 Hf 2.11-2.22
O 0.6049 0.9998 0.7582  4 Hf 2.11-2.22
O 0.6051 0.7497 0.7427  4 Hf 2.11-2.23
O 0.6050 0.2514 0.2406  4 Hf 2.12-2.22
O 0.3412 0.5598 0.1928  1 Ga 2.01, 2 Hf 2.01-2.11
O 0.1114 0.2554 0.2334  3 Hf 2.10-2.25, 1 Ga 2.11
O 0.1057 0.4990 0.7588  4 Hf 2.10-2.22
O 0.4106 0.8054 0.5591  3 Hf 2.03-2.13
O 0.8415 0.3036 0.3075  3 Hf 2.03-2.13
O 0.1457 0.7503 0.4935  4 Hf 2.11-2.23
O 0.6464 0.7515 0.9917  4 Hf 2.11-2.23
O 0.6391 0.2517 0.9913  4 Hf 2.10-2.25
O 0.4094 0.0558 0.9410  3 Hf 2.03-2.14
O 0.6463 0.5007 0.5089  4 Hf 2.11-2.23
O 0.6455 0.7505 0.4925  4 Hf 2.11-2.23
O 0.6043 0.0016 0.2576  4 Hf 2.11-2.24
O 0.1456 0.9946 0.0075  4 Hf 2.09-2.23
O 0.3398 0.0512 0.1909  3 Hf 2.01-2.13
O 0.1462 0.7443 0.9941  4 Hf 2.09-2.23
O 0.1061 0.2499 0.7343  4 Hf 2.09-2.26
O 0.8389 0.0553 0.6912  3 Hf 2.04-2.14
O 0.4107 0.5547 0.4436  3 Hf 2.03-2.13
O 0.6055 0.4996 0.7592  4 Hf 2.11-2.23
O 0.4106 0.0571 0.4397  3 Hf 2.05-2.13
O 0.6033 0.2501 0.7409  4 Hf 2.11-2.25
O 0.3398 0.0533 0.6895  3 Hf 2.02-2.14
O 0.4108 0.8062 0.0592  3 Hf 2.02-2.13
O 0.6055 0.5018 0.2590  4 Hf 2.10-2.23
O 0.6453 0.0000 0.5077  4 Hf 2.11-2.23
O 0.4132 0.5580 0.9417  3 Hf 2.02-2.12
Hf 0.2410 0.1275 0.3538  7 O 2.05-2.25
Hf 0.7411 0.3753 0.1412  6 O 2.00-2.23
Hf 0.5096 0.6248 0.6099  7 O 2.03-2.23
Hf 0.5078 0.8747 0.8915  7 O 2.03-2.23
Hf 0.5097 0.6264 0.1098  7 O 2.01-2.23
Hf 0.7396 0.1245 0.8596  7 O 2.03-2.23
Hf 0.2403 0.8738 0.6417  7 O 2.03-2.22
Hf 0.0130 0.1276 0.1070  7 O 2.07-2.21
Hf 0.7421 0.6259 0.3590  7 O 2.03-2.22
Hf 0.7411 0.1243 0.3569  7 O 2.03-2.22
Hf 0.2419 0.6249 0.3600  7 O 2.03-2.23
Hf 0.5050 0.1266 0.1090  7 O 2.01-2.23
Hf 0.2412 0.6208 0.8610  7 O 2.02-2.26
Hf 0.7412 0.3734 0.6415  7 O 2.03-2.23
Hf 0.0105 0.3754 0.3873  7 O 2.03-2.25
Hf 0.7412 0.8744 0.6418  7 O 2.03-2.22
Hf 0.0089 0.6243 0.6097  7 O 2.03-2.23
Hf 0.0086 0.1244 0.6068  7 O 2.04-2.25
Hf 0.5104 0.3758 0.3910  7 O 2.02-2.23
Hf 0.0088 0.8715 0.8931  7 O 2.03-2.22
Hf 0.0096 0.8751 0.3912  7 O 2.03-2.22
Hf 0.7423 0.6239 0.8602  7 O 2.04-2.23
Hf 0.2389 0.1223 0.8574  7 O 2.02-2.25
Hf 0.2406 0.3747 0.6395  7 O 2.03-2.25
Hf 0.2406 0.8725 0.1422  7 O 2.02-2.24
Hf 0.5088 0.1239 0.6081  7 O 2.02-2.23
Hf 0.0096 0.3727 0.8905  7 O 2.03-2.26
Hf 0.5053 0.3766 0.8921  7 O 2.02-2.25
Hf 0.0131 0.6191 0.1104  7 O 2.04-2.20
Hf 0.5089 0.8759 0.3910  7 O 2.03-2.23
Hf 0.7430 0.8764 0.1401  7 O 2.03-2.24
Ga 0.2492 0.3887 0.1497  6 O 1.95-2.17

## Properties
As for the excess energy over the best structure of this formula in the dataset: 27 meV/atom.

=====

# 2
A plane-wave DFT calculation with GGA-PBE was carried out for a relaxed NbCoSb crystal.

a b c (Å): 7.7258 7.7258 2.9882
angles (deg): 90.00 90.00 120.00
Last column: nearest neighbours and their distance in Å.
Atoms (fractional coordinates):
Sb 0.3333 0.6667 0.0000  3 Nb 2.69, 6 Co 2.90, 2 Sb 2.99
Sb 0.6667 0.3333 0.0000  3 Nb 2.69, 6 Co 2.90, 2 Sb 2.99
Sb 0.0000 0.0000 0.5000  3 Co 2.78, 6 Nb 2.79, 2 Sb 2.99
Nb 0.6948 0.6948 0.0000  4 Sb 2.69-2.79, 2 Nb 2.99, 6 Co 2.99
Nb 0.0000 0.3052 0.0000  4 Sb 2.69-2.79, 2 Nb 2.99, 6 Co 2.99
Nb 0.3052 0.0000 0.0000  4 Sb 2.69-2.79, 2 Nb 2.99, 6 Co 2.99
Co 0.3592 0.3592 0.5000  5 Sb 2.78-2.90, 2 Co 2.99, 6 Nb 2.99
Co 0.6408 0.0000 0.5000  5 Sb 2.78-2.90, 2 Co 2.99, 6 Nb 2.99
Co 0.0000 0.6408 0.5000  5 Sb 2.78-2.90, 2 Co 2.99, 6 Nb 2.99

## Properties
The calculation puts the raw total energy at -20.49 eV/f.u.

=====

# 3
A plane-wave DFT calculation with GGA-PBE was carried out for a relaxed UNiOs crystal.

a b c (Å): 4.2264 4.2264 4.2264
angles (deg): 60.00 60.00 60.00
Last column: nearest neighbours and their distance in Å.
Atoms (fractional coordinates):
Os 0.7500 0.7500 0.7500  4 Ni 2.59
Ni 0.0000 0.0000 0.0000  4 U 2.59, 4 Os 2.59
U 0.2500 0.2500 0.2500  4 Ni 2.59

## Properties
As for the excess energy over the best structure of this formula in the dataset: 0 meV/atom. As for the energy relative to the elements: 0.1660 eV/atom.

=====

# 4
A plane-wave DFT calculation with GGA-PBE was carried out for a relaxed Nb2CoSi crystal.

a b c (Å): 4.3750 4.3750 4.3750
angles (deg): 60.00 60.00 60.00
Last column: nearest neighbours and their distance in Å.
Atoms (fractional coordinates):
Si 0.5000 0.5000 0.5000  4 Co 2.68, 4 Nb 2.68
Nb 0.0000 0.0000 0.0000  4 Nb 2.68, 4 Co 2.68
Nb 0.7500 0.7500 0.7500  4 Nb 2.68, 4 Si 2.68
Co 0.2500 0.2500 0.2500  4 Si 2.68, 4 Nb 2.68

## Properties
The calculation puts the raw total energy at -32.67 eV/f.u.

=====

# 5
A plane-wave DFT calculation with GGA-PBE was carried out for a relaxed TbNdSbBr2 crystal.

a b c (Å): 4.2987 4.2987 10.9679
angles (deg): 90.00 90.00 120.00
Last column: nearest neighbours and their distance in Å.
Atoms (fractional coordinates):
Br 0.0000 0.0000 0.6841  3 Tb 3.00
Br 0.6667 0.3333 0.3235  3 Nd 3.06
Tb 0.6667 0.3333 0.8381  3 Br 3.00, 3 Sb 3.01
Nd 0.0000 0.0000 0.1611  3 Br 3.06, 3 Sb 3.09
Sb 0.3333 0.6667 0.9932  3 Tb 3.01, 3 Nd 3.09

## Properties
The calculation puts the raw total energy at -24.38 eV/f.u.

=====

# 6
A plane-wave DFT calculation with GGA-PBE was carried out for a relaxed LaBiAsPd2 crystal.

a b c (Å): 4.6593 4.6593 10.2764
angles (deg): 90.00 90.00 90.00
Last column: nearest neighbours and their distance in Å.
Atoms (fractional coordinates):
As 0.5000 0.5000 0.0000  4 Pd 2.53
As 0.0000 0.0000 0.0000  4 Pd 2.53
La 0.0000 0.5000 0.2318  4 As 3.33, 9 Pd 3.38-3.61, 4 Bi 3.55
La 0.5000 0.0000 0.7682  4 As 3.33, 9 Pd 3.38-3.61, 4 Bi 3.55
Pd 0.5000 0.5000 0.5000  4 Bi 2.74
Pd 0.5000 0.0000 0.0967  4 As 2.53, 1 Bi 2.70
Pd 0.0000 0.0000 0.5000  4 Bi 2.74
Pd 0.0000 0.5000 0.9033  4 As 2.53, 1 Bi 2.70
Bi 0.0000 0.5000 0.6406  5 Pd 2.70-2.74
Bi 0.5000 0.0000 0.3594  5 Pd 2.70-2.74

## Properties
The calculation puts the raw total energy at -27.97 eV/f.u.

=====

# 7
A plane-wave DFT calculation with GGA-PBE was carried out for a relaxed Nb5InSn2 crystal.

a b c (Å): 8.0810 8.0810 8.0810
angles (deg): 96.29 96.29 141.36
Last column: nearest neighbours and their distance in Å.
Atoms (fractional coordinates):
In 0.2500 0.2500 0.0000  2 In 2.67, 8 Nb 2.97
In 0.7500 0.7500 0.0000  2 In 2.67, 8 Nb 2.97
Nb 0.7339 0.5751 0.3089  4 Sn 2.83-3.05, 3 Nb 2.91-3.13, 2 In 2.97
Nb 0.9249 0.7661 0.6911  4 Sn 2.83-3.05, 3 Nb 2.91-3.13, 2 In 2.97
Nb 0.2339 0.9249 0.1588  4 Sn 2.83-3.05, 3 Nb 2.91-3.13, 2 In 2.97
Nb 0.7500 0.2500 0.5000  2 Nb 2.67, 4 Sn 2.89
Nb 0.5751 0.2661 0.8412  4 Sn 2.83-3.05, 3 Nb 2.91-3.13, 2 In 2.97
Nb 0.7661 0.0751 0.8412  4 Sn 2.83-3.05, 3 Nb 2.91-3.13, 2 In 2.97
Nb 0.4249 0.7339 0.1588  4 Sn 2.83-3.05, 3 Nb 2.91-3.13, 2 In 2.97
Nb 0.2500 0.7500 0.5000  2 Nb 2.67, 4 Sn 2.89
Nb 0.2661 0.4249 0.6911  4 Sn 2.83-3.05, 3 Nb 2.91-3.13, 2 In 2.97
Nb 0.0751 0.2339 0.3089  4 Sn 2.83-3.05, 3 Nb 2.91-3.13, 2 In 2.97
Sn 0.6682 0.8318 0.5000  10 Nb 2.83-3.05
Sn 0.1682 0.6682 0.8364  10 Nb 2.83-3.05
Sn 0.3318 0.1682 0.5000  10 Nb 2.83-3.05
Sn 0.8318 0.3318 0.1636  10 Nb 2.83-3.05

## Properties
The calculation puts the raw total energy at -61.95 eV/f.u.

=====

# 8
A plane-wave DFT calculation with GGA-PBE was carried out for a relaxed HoTmGeC crystal.

a b c (Å): 3.5499 3.5499 14.8253
angles (deg): 90.00 90.00 120.00
Last column: nearest neighbours and their distance in Å.
Atoms (fractional coordinates):
C 0.0000 0.0000 0.5000  6 Tm 2.44
C 0.0000 0.0000 0.0000  6 Ho 2.46
Tm 0.6667 0.3333 0.5892  3 C 2.44
Tm 0.3333 0.6667 0.4108  3 C 2.44
Ho 0.6667 0.3333 0.9088  3 C 2.46
Ho 0.3333 0.6667 0.0912  3 C 2.46
Ge 0.6667 0.3333 0.2519  3 Tm 3.12, 3 Ho 3.14
Ge 0.3333 0.6667 0.7481  3 Tm 3.12, 3 Ho 3.14

## Properties
The calculation puts the raw total energy at -24.93 eV/f.u.